1.
An optimized crystal structure of CeNd2UAs4, computed with GGA-PBE.

Calculated values
- Formation enthalpy at 0 K: -10.254 eV/f.u.
- Volume: 26.388 Å³ per atom
- DFT total energy: -55.610 eV for the cell shown

Cell: 7.2967 7.2892 5.9541 Å, 65.97 65.84 48.18°
Last column: nearest neighbours and their distance in Å.
Sites, in units of the cell vectors:
Ce 0.0000 0.0000 0.0000  6 As 2.95-2.98
Nd 0.2500 0.2500 0.2500  6 As 2.98-3.07
Nd 0.5000 0.5000 0.5000  6 As 2.98-3.01
U 0.7500 0.7500 0.7500  6 As 2.88-2.98
As 0.2476 0.2476 0.7524  1 Ce 2.95, 2 U 2.98, 3 Nd 2.98-3.01
As 0.5081 0.5081 0.9919  1 U 2.88, 2 Ce 2.98, 3 Nd 2.98-3.07
As 0.7524 0.7524 0.2476  1 Ce 2.95, 2 U 2.98, 3 Nd 2.98-3.01
As 0.9919 0.9919 0.5081  1 U 2.88, 2 Ce 2.98, 3 Nd 2.98-3.07

2.
An optimized crystal structure of Ce2NdYAs4, computed with GGA-PBE.

Calculated values
- Formation enthalpy at 0 K: -11.850 eV/f.u.
- Volume: 26.341 Å³ per atom
- DFT total energy: -53.547 eV for the cell shown

Cell: 7.2822 4.2093 7.2924 Å, 90.00 109.49 90.00°
Last column: nearest neighbours and their distance in Å.
Sites, in units of the cell vectors:
Ce 0.0000 0.0000 0.0000  6 As 2.95
Ce 0.0000 0.5000 0.5000  6 As 2.99
Nd 0.5000 0.0000 0.5000  6 As 3.00
Y 0.5000 0.5000 0.0000  6 As 2.96
As 0.2470 0.5000 0.2447  3 Ce 2.95-2.99, 1 Y 2.96, 2 Nd 3.00
As 0.2503 0.0000 0.7544  3 Ce 2.95-2.99, 2 Y 2.96, 1 Nd 3.00
As 0.7497 0.0000 0.2456  3 Ce 2.95-2.99, 2 Y 2.96, 1 Nd 3.00
As 0.7530 0.5000 0.7553  3 Ce 2.95-2.99, 1 Y 2.96, 2 Nd 3.00

3.
An optimized crystal structure of Ce2NdY3As6, computed with GGA-PBE.

Calculated values
- Formation enthalpy at 0 K: -18.112 eV/f.u.
- Volume: 25.813 Å³ per atom
- DFT total energy: -82.037 eV for the cell shown

Cell: 7.2461 7.2461 7.2267 Å, 99.61 99.61 120.00°
Last column: nearest neighbours and their distance in Å.
Sites, in units of the cell vectors:
Ce 0.1669 0.8331 0.0000  6 As 2.96-2.97
Ce 0.8331 0.1669 0.0000  6 As 2.96-2.97
Nd 0.5000 0.5000 0.0000  6 As 3.00
Y 0.0000 0.0000 0.5000  6 As 2.91-2.95
Y 0.3342 0.6658 0.5000  6 As 2.92-2.95
Y 0.6658 0.3342 0.5000  6 As 2.92-2.95
As 0.0780 0.4150 0.7453  3 Y 2.92-2.95, 2 Ce 2.96, 1 Nd 3.00
As 0.2480 0.2480 0.2552  3 Y 2.91-2.94, 2 Ce 2.97, 1 Nd 3.00
As 0.4150 0.0780 0.7453  3 Y 2.92-2.95, 2 Ce 2.96, 1 Nd 3.00
As 0.5850 0.9220 0.2547  3 Y 2.92-2.95, 2 Ce 2.96, 1 Nd 3.00
As 0.7520 0.7520 0.7448  3 Y 2.91-2.94, 2 Ce 2.97, 1 Nd 3.00
As 0.9220 0.5850 0.2547  3 Y 2.92-2.95, 2 Ce 2.96, 1 Nd 3.00

4.
An optimized crystal structure of CeNdY2As4, computed with GGA-PBE.

Calculated values
- Formation enthalpy at 0 K: -12.115 eV/f.u.
- Volume: 25.910 Å³ per atom
- DFT total energy: -54.343 eV for the cell shown

Cell: 7.2365 4.1875 7.2541 Å, 90.00 109.45 90.00°
Last column: nearest neighbours and their distance in Å.
Sites, in units of the cell vectors:
Ce 0.0000 0.0000 0.0000  6 As 2.96-2.97
Nd 0.0000 0.5000 0.5000  6 As 2.99
Y 0.5000 0.0000 0.5000  6 As 2.95
Y 0.5000 0.5000 0.0000  6 As 2.92-2.93
As 0.2551 0.5000 0.2491  3 Y 2.92-2.95, 2 Ce 2.97, 1 Nd 2.99
As 0.2563 0.0000 0.7555  3 Y 2.93-2.95, 1 Ce 2.96, 2 Nd 2.99
As 0.7437 0.0000 0.2445  3 Y 2.93-2.95, 1 Ce 2.96, 2 Nd 2.99
As 0.7449 0.5000 0.7509  3 Y 2.92-2.95, 2 Ce 2.97, 1 Nd 2.99

5.
An optimized crystal structure of Ce3Nd4YAs8, computed with GGA-PBE.

Calculated values
- Formation enthalpy at 0 K: -23.845 eV/f.u.
- Volume: 26.786 Å³ per atom
- DFT total energy: -104.378 eV for the cell shown

Cell: 8.4669 8.4669 8.4669 Å, 59.94 59.94 59.94°
Last column: nearest neighbours and their distance in Å.
Sites, in units of the cell vectors:
Ce 0.0000 0.5000 0.5000  6 As 2.96-2.97
Ce 0.5000 0.0000 0.5000  6 As 2.96-2.97
Ce 0.5000 0.5000 0.0000  6 As 2.96-2.97
Nd 0.0000 0.0000 0.5000  6 As 3.02
Nd 0.0000 0.5000 0.0000  6 As 3.02
Nd 0.5000 0.0000 0.0000  6 As 3.02
Nd 0.5000 0.5000 0.5000  6 As 3.03
Y 0.0000 0.0000 0.0000  6 As 2.96
As 0.2470 0.2470 0.7484  1 Y 2.96, 2 Ce 2.96, 3 Nd 3.02-3.03
As 0.2470 0.7483 0.2470  1 Y 2.96, 2 Ce 2.96, 3 Nd 3.02-3.03
As 0.2519 0.2519 0.2519  3 Ce 2.97, 3 Nd 3.02
As 0.2516 0.7530 0.7530  1 Y 2.96, 2 Ce 2.96, 3 Nd 3.02-3.03
As 0.7484 0.2470 0.2470  1 Y 2.96, 2 Ce 2.96, 3 Nd 3.02-3.03
As 0.7481 0.7481 0.7481  3 Ce 2.97, 3 Nd 3.02
As 0.7530 0.2516 0.7530  1 Y 2.96, 2 Ce 2.96, 3 Nd 3.02-3.03
As 0.7530 0.7530 0.2517  1 Y 2.96, 2 Ce 2.96, 3 Nd 3.02-3.03

6.
An optimized crystal structure of Ce2NdZrAs4, computed with GGA-PBE.

Calculated values
- Formation enthalpy at 0 K: -10.896 eV/f.u.
- Volume: 25.020 Å³ per atom
- DFT total energy: -54.678 eV for the cell shown

Cell: 7.1617 4.1322 7.1678 Å, 90.00 109.33 90.00°
Last column: nearest neighbours and their distance in Å.
Sites, in units of the cell vectors:
Ce 0.0000 0.0000 0.0000  6 As 2.90-2.91
Ce 0.0000 0.5000 0.5000  6 As 3.01-3.02
Nd 0.5000 0.0000 0.5000  6 As 2.95
Zr 0.5000 0.5000 0.0000  6 As 2.83-2.84
As 0.2541 0.5000 0.2383  1 Zr 2.83, 3 Ce 2.91-3.02, 2 Nd 2.95
As 0.2624 0.0000 0.7659  2 Zr 2.84, 3 Ce 2.90-3.01, 1 Nd 2.95
As 0.7376 0.0000 0.2341  2 Zr 2.84, 3 Ce 2.90-3.01, 1 Nd 2.95
As 0.7459 0.5000 0.7617  1 Zr 2.83, 3 Ce 2.91-3.02, 2 Nd 2.95

7.
An optimized crystal structure of Ce3NdZr2As6, computed with GGA-PBE.

Calculated values
- Formation enthalpy at 0 K: -16.068 eV/f.u.
- Volume: 24.338 Å³ per atom
- DFT total energy: -83.630 eV for the cell shown

Cell: 7.0964 7.0964 7.1068 Å, 99.61 99.61 120.02°
Last column: nearest neighbours and their distance in Å.
Sites, in units of the cell vectors:
Ce 0.0000 0.0000 0.0000  6 As 2.88-2.98
Ce 0.3377 0.6623 0.0000  6 As 2.90-2.98
Ce 0.6623 0.3377 0.0000  6 As 2.90-2.98
Nd 0.5000 0.5000 0.5000  6 As 2.92-2.94
Zr 0.1681 0.8319 0.5000  6 As 2.81-2.82
Zr 0.8319 0.1681 0.5000  6 As 2.81-2.82
As 0.0733 0.4198 0.2602  2 Zr 2.81-2.82, 3 Ce 2.90-2.98, 1 Nd 2.94
As 0.2311 0.2311 0.7345  2 Zr 2.81, 3 Ce 2.88-2.96, 1 Nd 2.92
As 0.4198 0.0733 0.2602  2 Zr 2.81-2.82, 3 Ce 2.90-2.98, 1 Nd 2.94
As 0.5802 0.9267 0.7398  2 Zr 2.81-2.82, 3 Ce 2.90-2.98, 1 Nd 2.94
As 0.7689 0.7689 0.2655  2 Zr 2.81, 3 Ce 2.88-2.96, 1 Nd 2.92
As 0.9267 0.5802 0.7398  2 Zr 2.81-2.82, 3 Ce 2.90-2.98, 1 Nd 2.94

8.
An optimized crystal structure of CeNi4As2, computed with GGA-PBE.

Calculated values
- Formation enthalpy at 0 K: -4.275 eV/f.u.
- Volume: 14.579 Å³ per atom
- DFT total energy: -85.266 eV for the cell shown

Cell: 7.3114 7.3114 3.8182 Å, 90.00 90.00 90.00°
Last column: nearest neighbours and their distance in Å.
Sites, in units of the cell vectors:
Ce 0.0000 0.0000 0.0000  6 As 2.92-2.95, 12 Ni 3.19-3.25
Ce 0.5000 0.5000 0.5000  6 As 2.92-2.95, 12 Ni 3.19-3.25
Ni 0.0908 0.3489 0.5000  3 As 2.42-2.45, 6 Ni 2.58-2.67
Ni 0.1511 0.5908 0.0000  3 As 2.42-2.45, 6 Ni 2.58-2.67
Ni 0.3489 0.0908 0.5000  3 As 2.42-2.45, 6 Ni 2.58-2.67
Ni 0.4092 0.8489 0.0000  3 As 2.42-2.45, 6 Ni 2.58-2.67
Ni 0.5908 0.1511 0.0000  3 As 2.42-2.45, 6 Ni 2.58-2.67
Ni 0.6511 0.9092 0.5000  3 As 2.42-2.45, 6 Ni 2.58-2.67
Ni 0.8489 0.4092 0.0000  3 As 2.42-2.45, 6 Ni 2.58-2.67
Ni 0.9092 0.6511 0.5000  3 As 2.42-2.45, 6 Ni 2.58-2.67
As 0.2174 0.7826 0.5000  6 Ni 2.42-2.45
As 0.2826 0.2826 0.0000  6 Ni 2.42-2.45
As 0.7174 0.7174 0.0000  6 Ni 2.42-2.45
As 0.7826 0.2174 0.5000  6 Ni 2.42-2.45